ScCrAg2: relaxed, PBE.

It has space group Pmmm (No. 47), with a = 3.2209 Å, b = 3.7734 Å, c = 6.1166 Å, α = 90.00°, β = 90.00° and γ = 90.00°. The asymmetric unit holds Sc at (0.0000, 0.0000, 0.0000), Cr at (0.0000, 0.0000, 0.5000) and Ag at (0.5000, 0.5000, 0.2584).

The formation energy comes out at 0.140 eV per atom. As for the energy above the most stable polymorph in this dataset: 0.0523 eV per atom.

***

Mg2NpScN4: relaxed, PBE.

It has space group P2/m (No. 10), with a = 5.4588 Å, b = 3.3077 Å, c = 5.6134 Å, α = 90.00°, β = 108.58° and γ = 90.00°. The asymmetric unit holds Mg at (0.0000, 0.0000, 0.0000), Mg at (0.0000, 0.5000, 0.5000), Np at (0.5000, 0.0000, 0.5000), Sc at (0.5000, 0.5000, 0.0000), N at (0.2557, 0.5000, 0.2503) and N at (0.2684, 0.0000, 0.7454).

The uncorrected formation energy is -1.200 eV/atom.